# Pr2CoBiO6

Crystalline Pr2CoBiO6 at its relaxed geometry (PBE with a Hubbard U, Alexandria).

Properties
VASP energy = -138.766 eV/cell
Volume = 14.51 A^3/atom

Cell lengths 10.2189, 5.7605, 5.7690 Å; angles 90.00, 121.31, 90.00 degrees
Closest atoms and distances in Å follow each position.
Space group C2/m (No. 12)
Asymmetric unit:
Pr1 0.2445 0.0000 0.2121 x4  5 O 2.35-2.44
Co1 0.0000 0.5000 0.0000 x2  4 O 2.03
Bi1 0.0000 0.0000 0.5000 x2  6 O 2.26-2.28
O1 0.0761 0.2598 0.8410 x8  1 Co 2.03, 1 Bi 2.26
O2 0.2485 0.5000 0.3734 x4  1 Bi 2.28, 1 Co 2.32, 1 Pr 2.35